Record 1
The following is a meta-GGA SCAN calculation of a crystal of CsLiRu2Au relaxed with PBEsol, from Alexandria.

a = 4.543 Å, b = 4.543 Å, c = 4.598 Å
α = 90.00°, β = 90.00°, γ = 90.00°
Sites, in units of the cell vectors:
Cs: 0.500 0.500 0.500
Ru: 0.000 0.500 0.000
Ru: 0.500 0.000 0.000
Au: 0.000 0.000 0.500
Li: 0.000 0.000 0.000

Computed properties:
VASP energy, eV per atom: -34.44
Energy of formation, meV/atom: 1359

Record 2
The following is a meta-GGA SCAN calculation of a crystal of Cs2NbC relaxed with PBEsol, from Alexandria.

a = 5.628 Å, b = 5.628 Å, c = 5.628 Å
α = 60.00°, β = 60.00°, γ = 60.00°
Sites, in units of the cell vectors:
Cs: 0.250 0.250 0.250
Cs: 0.750 0.750 0.750
Nb: 0.500 0.500 0.500
C: 0.000 0.000 0.000

Computed properties:
VASP energy, eV per atom: -27.57
Energy of formation, meV/atom: 2148

Record 3
The following is a meta-GGA SCAN calculation of a crystal of ZnCdCo2 relaxed with PBEsol, from Alexandria.

a = 3.846 Å, b = 3.846 Å, c = 4.470 Å
α = 115.48°, β = 115.48°, γ = 90.00°
Sites, in units of the cell vectors:
Zn: 0.500 0.500 0.000
Co: 0.000 0.000 0.000
Co: 0.750 0.250 0.500
Cd: 0.250 0.750 0.500

Computed properties:
VASP energy, eV per atom: -19.41
Energy of formation, meV/atom: 221

Record 4
The following is a meta-GGA SCAN calculation of a crystal of Ba2IrRu relaxed with PBEsol, from Alexandria.

a = 4.289 Å, b = 4.289 Å, c = 8.986 Å
α = 76.35°, β = 76.35°, γ = 60.78°
Sites, in units of the cell vectors:
Ru: 0.805 0.805 0.624
Ir: 0.447 0.447 0.626
Ba: 0.040 0.040 0.878
Ba: 0.208 0.208 0.372

Computed properties:
VASP energy, eV per atom: -46.33
Energy of formation, meV/atom: -77

Record 5
The following is a meta-GGA SCAN calculation of a crystal of BaScMo2 relaxed with PBEsol, from Alexandria.

a = 3.970 Å, b = 3.970 Å, c = 5.196 Å
α = 90.00°, β = 90.00°, γ = 90.00°
Sites, in units of the cell vectors:
Ba: 0.000 0.000 0.500
Mo: 0.000 0.500 0.000
Mo: 0.500 0.000 0.000
Sc: 0.500 0.500 0.500

Computed properties:
VASP energy, eV per atom: -29.62
E above lowest polymorph, eV per formula unit: 2.28
Energy of formation, meV/atom: 1274

Record 6
The following is a meta-GGA SCAN calculation of a crystal of Te3Ir relaxed with PBEsol, from Alexandria.

a = 5.671 Å, b = 5.671 Å, c = 5.671 Å
α = 90.00°, β = 90.00°, γ = 90.00°
Sites, in units of the cell vectors:
Ir: 0.000 0.000 0.000
Ir: 0.500 0.500 0.500
Te: 0.750 0.500 0.000
Te: 0.250 0.500 0.000
Te: 0.000 0.750 0.500
Te: 0.000 0.250 0.500
Te: 0.500 0.000 0.250
Te: 0.500 0.000 0.750

Computed properties:
VASP energy, eV per atom: -44.73
E_form (uncorrected), eV/atom: 0.982

Record 7
The following is a meta-GGA SCAN calculation of a crystal of LiYPb relaxed with PBEsol, from Alexandria.

a = 4.661 Å, b = 7.321 Å, c = 8.123 Å
α = 90.00°, β = 90.00°, γ = 90.00°
Sites, in units of the cell vectors:
Pb: 0.750 0.766 0.589
Pb: 0.250 0.734 0.089
Pb: 0.250 0.234 0.411
Pb: 0.750 0.266 0.911
Y: 0.750 0.003 0.223
Y: 0.250 0.497 0.723
Y: 0.250 0.997 0.777
Y: 0.750 0.503 0.277
Li: 0.750 0.188 0.580
Li: 0.250 0.312 0.080
Li: 0.250 0.812 0.420
Li: 0.750 0.688 0.920

Computed properties:
VASP energy, eV per atom: -36.11
Energy of formation, meV/atom: -769

Record 8
The following is a meta-GGA SCAN calculation of a crystal of Ba3PrIr2O9 relaxed with PBEsol, from Alexandria.

a = 5.923 Å, b = 5.923 Å, c = 14.944 Å
α = 90.00°, β = 90.00°, γ = 120.00°
Sites, in units of the cell vectors:
Ba: 0.333 0.667 0.399
Ba: 0.667 0.333 0.601
Ba: 0.667 0.333 0.899
Ba: 0.333 0.667 0.101
Ba: 0.000 0.000 0.250
Ba: 0.000 0.000 0.750
Pr: 0.000 0.000 0.500
Pr: 0.000 0.000 0.000
Ir: 0.333 0.667 0.833
Ir: 0.667 0.333 0.167
Ir: 0.667 0.333 0.333
Ir: 0.333 0.667 0.667
O: 0.643 0.821 0.908
O: 0.357 0.179 0.092
O: 0.179 0.357 0.908
O: 0.357 0.179 0.408
O: 0.821 0.643 0.092
O: 0.643 0.821 0.592
O: 0.179 0.821 0.908
O: 0.821 0.643 0.408
O: 0.821 0.179 0.092
O: 0.179 0.357 0.592
O: 0.821 0.179 0.408
O: 0.179 0.821 0.592
O: 0.984 0.492 0.250
O: 0.016 0.508 0.750
O: 0.508 0.016 0.250
O: 0.492 0.984 0.750
O: 0.508 0.492 0.250
O: 0.492 0.508 0.750

Computed properties:
VASP energy, eV per atom: -26.31
E_form (uncorrected), eV/atom: -2.288

Record 9
The following is a meta-GGA SCAN calculation of a crystal of Ga2HgSeCl relaxed with PBEsol, from Alexandria.

a = 5.176 Å, b = 5.719 Å, c = 5.719 Å
α = 90.00°, β = 90.00°, γ = 90.00°
Sites, in units of the cell vectors:
Ga: 0.000 0.000 0.500
Ga: 0.000 0.500 0.000
Hg: 0.500 0.000 0.000
Se: 0.000 0.000 0.000
Cl: 0.500 0.500 0.500

Computed properties:
VASP energy, eV per atom: -25.71
E_form (uncorrected), eV/atom: 0.073

Record 10
The following is a meta-GGA SCAN calculation of a crystal of CrReRu relaxed with PBEsol, from Alexandria.

a = 3.983 Å, b = 3.983 Å, c = 3.983 Å
α = 60.00°, β = 60.00°, γ = 60.00°
Sites, in units of the cell vectors:
Cr: 0.250 0.250 0.250
Re: 0.000 0.000 0.000
Ru: 0.500 0.500 0.500

Computed properties:
VASP energy, eV per atom: -40.86
E above lowest polymorph, eV per formula unit: 1.33
Energy of formation, meV/atom: 573

Record 11
The following is a meta-GGA SCAN calculation of a crystal of Tl3Cd relaxed with PBEsol, from Alexandria.

a = 5.400 Å, b = 6.569 Å, c = 6.569 Å
α = 114.01°, β = 90.00°, γ = 90.00°
Sites, in units of the cell vectors:
Cd: 0.250 0.603 0.397
Cd: 0.750 0.397 0.603
Tl: 0.250 0.097 0.903
Tl: 0.250 0.593 0.888
Tl: 0.250 0.112 0.407
Tl: 0.750 0.903 0.097
Tl: 0.750 0.407 0.112
Tl: 0.750 0.888 0.593

Computed properties:
VASP energy, eV per atom: -61.81
Energy of formation, meV/atom: 58

Record 12
The following is a meta-GGA SCAN calculation of a crystal of Mn2FeBr relaxed with PBEsol, from Alexandria.

a = 2.997 Å, b = 2.997 Å, c = 7.726 Å
α = 78.82°, β = 78.82°, γ = 60.00°
Sites, in units of the cell vectors:
Br: 0.501 0.501 0.498
Fe: 0.257 0.257 0.228
Mn: 0.996 0.996 0.011
Mn: 0.746 0.746 0.763

Computed properties:
VASP energy, eV per atom: -18.18
E above lowest polymorph, eV per formula unit: 0.40
E_form (uncorrected), eV/atom: 0.342

Record 13
The following is a meta-GGA SCAN calculation of a crystal of Li2MnSi3O8 relaxed with PBEsol, from Alexandria.

a = 4.993 Å, b = 6.166 Å, c = 6.239 Å
α = 76.19°, β = 74.83°, γ = 72.18°
Sites, in units of the cell vectors:
Li: 0.260 0.653 0.141
Li: 0.768 0.318 0.879
Mn: 0.623 0.278 0.378
Si: 0.291 0.114 0.176
Si: 0.342 0.758 0.601
Si: 0.733 0.883 0.811
O: 0.973 0.158 0.136
O: 0.074 0.761 0.828
O: 0.416 0.339 0.105
O: 0.350 0.581 0.449
O: 0.706 0.142 0.681
O: 0.313 0.021 0.449
O: 0.514 0.888 0.059
O: 0.636 0.702 0.705

Computed properties:
VASP energy, eV per atom: -10.05
E above lowest polymorph, eV per formula unit: 0.08
E_form (uncorrected), eV/atom: -2.701

Record 14
The following is a meta-GGA SCAN calculation of a crystal of SrAg2Ir relaxed with PBEsol, from Alexandria.

a = 4.257 Å, b = 4.260 Å, c = 5.204 Å
α = 114.16°, β = 114.14°, γ = 90.00°
Sites, in units of the cell vectors:
Ag: 0.000 0.000 0.000
Ag: 0.750 0.250 0.501
Ir: 0.500 0.500 0.000
Sr: 0.250 0.750 0.500

Computed properties:
VASP energy, eV per atom: -38.77
E above lowest polymorph, eV per formula unit: 0.78
Energy of formation, meV/atom: 262

Record 15
The following is a meta-GGA SCAN calculation of a crystal of BaCrRu3 relaxed with PBEsol, from Alexandria.

a = 4.539 Å, b = 4.539 Å, c = 4.539 Å
α = 90.00°, β = 90.00°, γ = 90.00°
Sites, in units of the cell vectors:
Ru: 0.000 0.500 0.000
Ru: 0.000 0.000 0.500
Ru: 0.500 0.000 0.000
Ba: 0.500 0.500 0.500
Cr: 0.000 0.000 0.000

Computed properties:
VASP energy, eV per atom: -31.59
Energy of formation, meV/atom: 889

Record 16
The following is a meta-GGA SCAN calculation of a crystal of YTa3Ga relaxed with PBEsol, from Alexandria.

a = 4.843 Å, b = 4.843 Å, c = 4.843 Å
α = 90.00°, β = 90.00°, γ = 90.00°
Sites, in units of the cell vectors:
Y: 0.000 0.000 0.000
Ga: 0.500 0.500 0.500
Ta: 0.000 0.500 0.000
Ta: 0.000 0.000 0.500
Ta: 0.500 0.000 0.000

Computed properties:
VASP energy, eV per atom: -46.32
Energy of formation, meV/atom: 2470

Record 17
The following is a meta-GGA SCAN calculation of a crystal of MoPtIO2 relaxed with PBEsol, from Alexandria.

a = 3.832 Å, b = 3.832 Å, c = 7.002 Å
α = 90.00°, β = 90.00°, γ = 90.00°
Sites, in units of the cell vectors:
I: 0.000 0.000 0.500
Mo: 0.500 0.500 0.500
O: 0.000 0.500 0.000
O: 0.500 0.000 0.000
Pt: 0.000 0.000 0.000

Computed properties:
VASP energy, eV per atom: -30.32
E_form (uncorrected), eV/atom: 0.535

Record 18
The following is a meta-GGA SCAN calculation of a crystal of AgOs2F relaxed with PBEsol, from Alexandria.

a = 4.260 Å, b = 4.260 Å, c = 4.260 Å
α = 60.00°, β = 60.00°, γ = 60.00°
Sites, in units of the cell vectors:
Os: 0.250 0.250 0.250
Os: 0.750 0.750 0.750
Ag: 0.500 0.500 0.500
F: 0.000 0.000 0.000

Computed properties:
VASP energy, eV per atom: -43.30
E_form (uncorrected), eV/atom: 1.366

Record 19
The following is a meta-GGA SCAN calculation of a crystal of AlGeSe3 relaxed with PBEsol, from Alexandria.

a = 4.819 Å, b = 4.819 Å, c = 4.819 Å
α = 90.00°, β = 90.00°, γ = 90.00°
Sites, in units of the cell vectors:
Ge: 0.500 0.500 0.500
Al: 0.000 0.000 0.000
Se: 0.000 0.500 0.000
Se: 0.000 0.000 0.500
Se: 0.500 0.000 0.000

Computed properties:
VASP energy, eV per atom: -17.35
E_form (uncorrected), eV/atom: 0.064

Record 20
The following is a meta-GGA SCAN calculation of a crystal of ZnBiO2F relaxed with PBEsol, from Alexandria.

a = 3.834 Å, b = 3.987 Å, c = 3.987 Å
α = 90.00°, β = 90.00°, γ = 90.00°
Sites, in units of the cell vectors:
Zn: 0.000 0.000 0.000
Bi: 0.500 0.500 0.500
O: 0.000 0.000 0.500
O: 0.000 0.500 0.000
F: 0.500 0.000 0.000

Computed properties:
VASP energy, eV per atom: -22.88
E_form (uncorrected), eV/atom: -1.264